# 1
This record from Alexandria describes a geometry-optimized La4NdSm3Te8 structure. The functional is PBE.

Summary:
E_form (uncorrected): -1.4947 eV/atom
M_tot: 0.00 Bohr magnetons per cell

POSCAR file:
```
La4NdSm3Te8
1.0
4.527 2.614 7.360
-4.527 2.614 7.360
0.000 -5.228 7.360
La Nd Sm Te
4 1 3 8
direct
0.000 0.000 0.000 La
0.000 0.500 0.500 La
0.500 0.000 0.500 La
0.500 0.500 0.000 La
0.500 0.500 0.500 Nd
0.000 0.000 0.500 Sm
0.000 0.500 0.000 Sm
0.500 0.000 0.000 Sm
0.245 0.748 0.748 Te
0.247 0.247 0.247 Te
0.252 0.252 0.755 Te
0.252 0.755 0.252 Te
0.748 0.245 0.748 Te
0.748 0.748 0.245 Te
0.753 0.753 0.753 Te
0.755 0.252 0.252 Te
```

# 2
This record from Alexandria describes a geometry-optimized Ac6Sm2Ho structure. The functional is PBE.

Summary:
M_tot: 0.00 Bohr magnetons per cell
calculated total energy: -37.72 eV/f.u.

POSCAR file:
```
Ac6Sm2Ho
1.0
11.674 -5.279 0.000
11.674 5.279 0.000
-1.627 0.000 5.968
Ac Sm Ho
12 4 2
direct
0.001 0.165 0.313 Ac
0.082 0.581 0.081 Ac
0.165 0.001 0.813 Ac
0.335 0.499 0.646 Ac
0.419 0.918 0.419 Ac
0.499 0.335 0.146 Ac
0.501 0.665 0.854 Ac
0.581 0.082 0.581 Ac
0.665 0.501 0.354 Ac
0.835 0.999 0.187 Ac
0.918 0.419 0.919 Ac
0.999 0.835 0.687 Ac
0.167 0.332 0.508 Sm
0.332 0.167 0.008 Sm
0.668 0.833 0.992 Sm
0.833 0.668 0.492 Sm
0.250 0.750 0.250 Ho
0.750 0.250 0.750 Ho
```

# 3
This record from Alexandria describes a geometry-optimized CoIr4 structure. The functional is PBE.

Summary:
ΔE to the lowest computed polymorph: 3 kJ/mol of formula units
M_tot: 5.24 Bohr magnetons per cell

POSCAR file:
```
CoIr4
1.0
2.714 0.000 0.000
-1.357 2.350 0.000
0.000 0.000 32.777
Co Ir
3 12
direct
0.000 0.000 0.000 Co
0.333 0.667 0.667 Co
0.667 0.333 0.333 Co
0.000 0.000 0.201 Ir
0.000 0.000 0.397 Ir
0.000 0.000 0.603 Ir
0.000 0.000 0.799 Ir
0.333 0.667 0.063 Ir
0.333 0.667 0.270 Ir
0.333 0.667 0.466 Ir
0.333 0.667 0.868 Ir
0.667 0.333 0.132 Ir
0.667 0.333 0.534 Ir
0.667 0.333 0.730 Ir
0.667 0.333 0.937 Ir
```

# 4
This record from Alexandria describes a geometry-optimized Cd2In3Au3 structure. The functional is PBE.

Summary:
M_tot: 0.00 Bohr magnetons per cell
calculated total energy: -21.06 eV/f.u.

POSCAR file:
```
Cd2In3Au3
1.0
8.214 0.000 0.000
-4.107 7.114 0.000
0.000 0.000 6.186
Cd In Au
4 6 6
direct
0.333 0.667 0.000 Cd
0.333 0.667 0.500 Cd
0.667 0.333 0.000 Cd
0.667 0.333 0.500 Cd
0.000 0.264 0.250 In
0.000 0.736 0.750 In
0.264 0.000 0.250 In
0.264 0.264 0.750 In
0.736 0.000 0.750 In
0.736 0.736 0.250 In
0.000 0.383 0.750 Au
0.000 0.617 0.250 Au
0.383 0.000 0.750 Au
0.383 0.383 0.250 Au
0.617 0.000 0.250 Au
0.617 0.617 0.750 Au
```

# 5
This record from Alexandria describes a geometry-optimized LuPuZnIr structure. The functional is PBE.

Summary:
M_tot: 20.28 Bohr magnetons per cell
calculated total energy: -30.81 eV/f.u.

POSCAR file:
```
LuPuZnIr
1.0
6.900 0.000 0.000
0.000 6.900 0.000
0.000 0.000 6.900
Lu Pu Zn Ir
4 4 4 4
direct
0.000 0.000 0.000 Lu
0.000 0.500 0.500 Lu
0.500 0.000 0.500 Lu
0.500 0.500 0.000 Lu
0.000 0.000 0.500 Pu
0.000 0.500 0.000 Pu
0.500 0.000 0.000 Pu
0.500 0.500 0.500 Pu
0.250 0.250 0.250 Zn
0.250 0.750 0.750 Zn
0.750 0.250 0.750 Zn
0.750 0.750 0.250 Zn
0.250 0.250 0.750 Ir
0.250 0.750 0.250 Ir
0.750 0.250 0.250 Ir
0.750 0.750 0.750 Ir
```

# 6
This record from Alexandria describes a geometry-optimized NpZn3 structure. The functional is PBE.

Summary:
M_tot: 4.46 Bohr magnetons per cell
calculated total energy: -16.22 eV/f.u.

POSCAR file:
```
NpZn3
1.0
2.716 0.000 0.000
0.000 4.563 0.000
0.000 0.000 5.891
Np Zn
1 3
direct
0.000 0.000 0.000 Np
0.000 0.500 0.650 Zn
0.500 0.000 0.499 Zn
0.500 0.500 0.236 Zn
```

# 7
This record from Alexandria describes a geometry-optimized PaV2Ge structure. The functional is PBE.

Summary:
ΔE to the lowest computed polymorph: 1 kJ/mol of formula units
M_tot: 0.00 Bohr magnetons per cell

POSCAR file:
```
PaV2Ge
1.0
6.366 0.000 0.000
0.000 6.366 0.000
0.000 0.000 6.366
Pa V Ge
4 8 4
direct
0.000 0.000 0.000 Pa
0.000 0.500 0.500 Pa
0.500 0.000 0.500 Pa
0.500 0.500 0.000 Pa
0.250 0.250 0.250 V
0.250 0.250 0.750 V
0.250 0.750 0.250 V
0.250 0.750 0.750 V
0.750 0.250 0.250 V
0.750 0.250 0.750 V
0.750 0.750 0.250 V
0.750 0.750 0.750 V
0.000 0.000 0.500 Ge
0.000 0.500 0.000 Ge
0.500 0.000 0.000 Ge
0.500 0.500 0.500 Ge
```

# 8
This record from Alexandria describes a geometry-optimized Ta11Al4 structure. The functional is PBE.

Summary:
M_tot: 0.00 Bohr magnetons per cell
calculated total energy: -148.05 eV/f.u.

POSCAR file:
```
Ta11Al4
1.0
10.009 0.000 0.000
0.000 5.210 0.000
-0.080 0.000 10.083
Ta Al
22 8
direct
0.036 0.000 0.370 Ta
0.104 0.000 0.103 Ta
0.128 0.500 0.538 Ta
0.182 0.247 0.820 Ta
0.182 0.753 0.820 Ta
0.242 0.000 0.565 Ta
0.319 0.250 0.316 Ta
0.319 0.750 0.316 Ta
0.372 0.000 0.036 Ta
0.397 0.500 0.603 Ta
0.463 0.500 0.873 Ta
0.537 0.500 0.127 Ta
0.603 0.500 0.397 Ta
0.628 0.000 0.964 Ta
0.681 0.250 0.684 Ta
0.681 0.750 0.684 Ta
0.758 0.000 0.435 Ta
0.818 0.247 0.180 Ta
0.818 0.753 0.180 Ta
0.872 0.500 0.462 Ta
0.896 0.000 0.897 Ta
0.964 0.000 0.630 Ta
0.000 0.500 0.000 Al
0.068 0.500 0.261 Al
0.263 0.500 0.065 Al
0.434 0.000 0.764 Al
0.500 0.000 0.500 Al
0.566 0.000 0.236 Al
0.737 0.500 0.935 Al
0.932 0.500 0.739 Al
```

# 9
This record from Alexandria describes a geometry-optimized Zr2BeBr structure. The functional is PBE.

Summary:
ΔE to the lowest computed polymorph: 73 kJ/mol of formula units
E_form (uncorrected): -0.0787 eV/atom
M_tot: 0.00 Bohr magnetons per cell

POSCAR file:
```
Zr2BeBr
1.0
3.268 0.000 0.000
0.000 3.782 0.000
0.000 0.000 13.508
Zr Be Br
4 2 2
direct
0.000 0.000 0.000 Zr
0.000 0.500 0.306 Zr
0.500 0.000 0.806 Zr
0.500 0.500 0.500 Zr
0.000 0.500 0.868 Be
0.500 0.000 0.368 Be
0.000 0.000 0.619 Br
0.500 0.500 0.119 Br
```

# 10
This record from Alexandria describes a geometry-optimized SrTaMn2 structure. The functional is PBE.

Summary:
ΔE to the lowest computed polymorph: 163 kJ/mol of formula units
M_tot: 10.91 Bohr magnetons per cell

POSCAR file:
```
SrTaMn2
1.0
7.083 0.000 0.000
0.000 7.199 0.000
0.000 0.000 3.040
Sr Ta Mn
2 2 4
direct
0.000 0.000 0.000 Sr
0.500 0.500 0.000 Sr
0.000 0.500 0.000 Ta
0.500 0.000 0.000 Ta
0.250 0.250 0.500 Mn
0.250 0.750 0.500 Mn
0.750 0.250 0.500 Mn
0.750 0.750 0.500 Mn
```

# 11
This record from Alexandria describes a geometry-optimized Er2AlFe2 structure. The functional is PBE.

Summary:
M_tot: 2.53 Bohr magnetons per cell
calculated total energy: -30.80 eV/f.u.

POSCAR file:
```
Er2AlFe2
1.0
4.658 -2.705 0.000
4.658 2.705 0.000
-1.802 0.000 7.317
Er Al Fe
4 2 4
direct
0.003 0.291 0.146 Er
0.291 0.003 0.646 Er
0.709 0.997 0.354 Er
0.997 0.709 0.854 Er
0.377 0.623 0.250 Al
0.623 0.377 0.750 Al
0.202 0.505 0.493 Fe
0.495 0.798 0.007 Fe
0.505 0.202 0.993 Fe
0.798 0.495 0.507 Fe
```

# 12
This record from Alexandria describes a geometry-optimized CaCd4In structure. The functional is PBE.

Summary:
ΔE to the lowest computed polymorph: 0 kJ/mol of formula units
M_tot: 0.00 Bohr magnetons per cell

POSCAR file:
```
CaCd4In
1.0
5.099 0.000 0.000
0.000 8.826 0.000
-0.010 0.000 6.668
Ca Cd In
2 8 2
direct
0.000 0.000 0.000 Ca
0.500 0.500 0.000 Ca
0.000 0.333 0.251 Cd
0.000 0.333 0.749 Cd
0.000 0.667 0.251 Cd
0.000 0.667 0.749 Cd
0.500 0.167 0.251 Cd
0.500 0.167 0.749 Cd
0.500 0.833 0.251 Cd
0.500 0.833 0.749 Cd
0.000 0.000 0.500 In
0.500 0.500 0.500 In
```

# 13
This record from Alexandria describes a geometry-optimized CaMnCd structure. The functional is PBE.

Summary:
M_tot: 8.20 Bohr magnetons per cell
calculated total energy: -11.54 eV/f.u.

POSCAR file:
```
CaMnCd
1.0
3.622 0.000 0.000
0.000 3.622 0.000
0.000 0.000 10.992
Ca Mn Cd
2 2 2
direct
0.000 0.000 0.000 Ca
0.500 0.500 0.500 Ca
0.000 0.000 0.693 Mn
0.500 0.500 0.193 Mn
0.000 0.000 0.306 Cd
0.500 0.500 0.806 Cd
```

# 14
This record from Alexandria describes a geometry-optimized TbTm5Te4 structure. The functional is PBE.

Summary:
E_form (uncorrected): -0.7039 eV/atom
M_tot: 0.00 Bohr magnetons per cell

POSCAR file:
```
TbTm5Te4
1.0
9.092 0.000 0.000
0.000 9.537 0.000
0.000 0.000 7.460
Tb Tm Te
2 10 8
direct
0.250 0.250 0.146 Tb
0.750 0.750 0.854 Tb
0.062 0.061 0.771 Tm
0.062 0.439 0.771 Tm
0.250 0.750 0.782 Tm
0.438 0.061 0.771 Tm
0.438 0.439 0.771 Tm
0.562 0.561 0.229 Tm
0.562 0.939 0.229 Tm
0.750 0.250 0.218 Tm
0.938 0.561 0.229 Tm
0.938 0.939 0.229 Tm
0.015 0.250 0.447 Te
0.250 0.555 0.093 Te
0.250 0.945 0.093 Te
0.485 0.250 0.447 Te
0.515 0.750 0.553 Te
0.750 0.055 0.907 Te
0.750 0.445 0.907 Te
0.985 0.750 0.553 Te
```

# 15
This record from Alexandria describes a geometry-optimized Mn2GaN structure. The functional is PBE.

Summary:
E_form (uncorrected): -0.1778 eV/atom
M_tot: 15.44 Bohr magnetons per cell

POSCAR file:
```
Mn2GaN
1.0
9.548 0.000 0.000
0.000 2.849 0.000
-1.320 0.000 6.819
Mn Ga N
8 4 4
direct
0.000 0.000 0.000 Mn
0.089 0.500 0.702 Mn
0.230 0.500 0.252 Mn
0.321 0.000 0.601 Mn
0.500 0.500 0.000 Mn
0.589 0.000 0.702 Mn
0.730 0.000 0.252 Mn
0.821 0.500 0.601 Mn
0.260 0.000 0.954 Ga
0.465 0.000 0.302 Ga
0.760 0.500 0.954 Ga
0.965 0.500 0.302 Ga
0.185 0.500 0.500 N
0.466 0.500 0.720 N
0.685 0.000 0.500 N
0.966 0.000 0.720 N
```

# 16
This record from Alexandria describes a geometry-optimized Ac2Fe3B12Ir structure. The functional is PBE.

Summary:
M_tot: 5.85 Bohr magnetons per cell
calculated total energy: -121.25 eV/f.u.

POSCAR file:
```
Ac2Fe3B12Ir
1.0
2.998 1.731 7.133
-2.998 1.731 7.133
0.000 -3.462 7.133
Ac Fe B Ir
2 3 12 1
direct
0.126 0.126 0.126 Ac
0.874 0.874 0.874 Ac
0.000 0.500 0.500 Fe
0.500 0.000 0.500 Fe
0.500 0.500 0.000 Fe
0.126 0.584 0.584 B
0.166 0.166 0.460 B
0.166 0.460 0.166 B
0.416 0.416 0.874 B
0.416 0.874 0.416 B
0.460 0.166 0.166 B
0.540 0.834 0.834 B
0.584 0.126 0.584 B
0.584 0.584 0.126 B
0.834 0.540 0.834 B
0.834 0.834 0.540 B
0.874 0.416 0.416 B
0.500 0.500 0.500 Ir
```

# 17
This record from Alexandria describes a geometry-optimized Zn2CrMo structure. The functional is PBE.

Summary:
ΔE to the lowest computed polymorph: 21 kJ/mol of formula units
M_tot: 0.01 Bohr magnetons per cell

POSCAR file:
```
Zn2CrMo
1.0
5.120 0.000 0.000
0.000 8.528 0.000
-0.405 0.000 2.550
Zn Cr Mo
4 2 2
direct
0.250 0.250 0.000 Zn
0.250 0.750 0.000 Zn
0.750 0.250 0.000 Zn
0.750 0.750 0.000 Zn
0.000 0.000 0.500 Cr
0.500 0.500 0.500 Cr
0.000 0.500 0.500 Mo
0.500 0.000 0.500 Mo
```

# 18
This record from Alexandria describes a geometry-optimized La6Hg2Os structure. The functional is PBE.

Summary:
ΔE to the lowest computed polymorph: 0 kJ/mol of formula units
M_tot: 0.00 Bohr magnetons per cell

POSCAR file:
```
La6Hg2Os
1.0
6.567 0.000 0.000
0.000 10.250 0.000
-6.447 0.000 8.637
La Hg Os
12 4 2
direct
0.078 0.151 0.468 La
0.078 0.349 0.968 La
0.325 0.028 0.198 La
0.325 0.472 0.698 La
0.358 0.729 0.459 La
0.358 0.771 0.959 La
0.642 0.229 0.041 La
0.642 0.271 0.541 La
0.675 0.528 0.302 La
0.675 0.972 0.802 La
0.922 0.651 0.032 La
0.922 0.849 0.532 La
0.136 0.081 0.793 Hg
0.136 0.419 0.293 Hg
0.864 0.581 0.707 Hg
0.864 0.919 0.207 Hg
0.500 0.000 0.500 Os
0.500 0.500 0.000 Os
```

# 19
This record from Alexandria describes a geometry-optimized MnZnTe structure. The functional is PBE.

Summary:
ΔE to the lowest computed polymorph: 0 kJ/mol of formula units
E_form (uncorrected): -0.0998 eV/atom
M_tot: 7.02 Bohr magnetons per cell

POSCAR file:
```
MnZnTe
1.0
4.302 0.000 0.000
-2.151 3.727 0.000
-0.029 -2.425 8.690
Mn Zn Te
2 2 2
direct
0.000 0.000 0.000 Mn
0.277 0.557 0.830 Mn
0.622 0.246 0.865 Zn
0.896 0.797 0.686 Zn
0.179 0.364 0.533 Te
0.378 0.755 0.136 Te
```

# 20
This record from Alexandria describes a geometry-optimized Zr2GaPbO structure. The functional is PBE.

Summary:
E_form (uncorrected): 0.7471 eV/atom
M_tot: 0.00 Bohr magnetons per cell

POSCAR file:
```
Zr2GaPbO
1.0
5.541 0.000 0.000
0.000 5.541 0.000
0.000 0.000 4.206
Zr Ga Pb O
2 1 1 1
direct
0.000 0.500 0.000 Zr
0.500 0.000 0.000 Zr
0.000 0.000 0.500 Ga
0.500 0.500 0.000 Pb
0.500 0.500 0.500 O
```

# 21
This record from Alexandria describes a geometry-optimized Pm3HgPd4 structure. The functional is PBE.

Summary:
M_tot: 0.00 Bohr magnetons per cell
calculated total energy: -39.82 eV/f.u.

POSCAR file:
```
Pm3HgPd4
1.0
6.035 0.000 0.000
0.000 10.455 0.000
0.000 0.000 5.838
Pm Hg Pd
6 2 8
direct
0.000 0.000 0.000 Pm
0.000 0.306 0.772 Pm
0.000 0.694 0.772 Pm
0.500 0.194 0.272 Pm
0.500 0.500 0.500 Pm
0.500 0.806 0.272 Pm
0.000 0.500 0.358 Hg
0.500 0.000 0.858 Hg
0.000 0.226 0.276 Pd
0.000 0.774 0.276 Pd
0.219 0.000 0.487 Pd
0.281 0.500 0.987 Pd
0.500 0.274 0.776 Pd
0.500 0.726 0.776 Pd
0.719 0.500 0.987 Pd
0.781 0.000 0.487 Pd
```

# 22
This record from Alexandria describes a geometry-optimized Y2HfRu structure. The functional is PBE.

Summary:
ΔE to the lowest computed polymorph: 0 kJ/mol of formula units
M_tot: 5.20 Bohr magnetons per cell

POSCAR file:
```
Y2HfRu
1.0
7.152 0.000 0.000
0.000 7.152 0.000
0.000 0.000 7.152
Y Hf Ru
8 4 4
direct
0.250 0.250 0.250 Y
0.250 0.250 0.750 Y
0.250 0.750 0.250 Y
0.250 0.750 0.750 Y
0.750 0.250 0.250 Y
0.750 0.250 0.750 Y
0.750 0.750 0.250 Y
0.750 0.750 0.750 Y
0.000 0.000 0.000 Hf
0.000 0.500 0.500 Hf
0.500 0.000 0.500 Hf
0.500 0.500 0.000 Hf
0.000 0.000 0.500 Ru
0.000 0.500 0.000 Ru
0.500 0.000 0.000 Ru
0.500 0.500 0.500 Ru
```